{"formula": "Ni3MoO", "functional": "PBE with a Hubbard U", "state": "optimized geometry", "polymorph_energy_ev_per_fu": 11.31, "mass_density_kg_m3": 5458, "crystal_system": "cubic", "vol_a3_per_cell": 87.6, "lattice_angstrom": [[4.442, 0.000, 0.000], [0.000, 4.442, 0.000], [0.000, 0.000, 4.442]], "species": ["Ni", "Ni", "Ni", "Mo", "O"], "frac_coords": [[0.000, 0.000, 0.500], [0.000, 0.500, 0.000], [0.500, 0.000, 0.000], [0.000, 0.000, 0.000], [0.500, 0.500, 0.500]]}